Model w:
BaMoS2 GGA-PBEsol relaxed; DOS at the Fermi energy = 0.64 states/eV/atom
1.0
-1.2433 5.1267 2.4950
-3.5250 1.3160 -4.4606
-2.4623 -5.8789 4.0286
Mo S Ba
2 4 2
direct
0.7500 0.2500 0.5000
0.5000 0.5000 0.0000
0.1250 0.2489 0.7500
0.7511 0.3750 0.2500
0.6250 0.5011 0.7500
0.4989 0.8750 0.2500
0.2500 0.7500 0.5000
0.0000 0.0000 0.0000


Model x:
BaMoS2 GGA-PBEsol relaxed; DOS at the Fermi energy = 1.00 states/eV/atom
1.0
4.8105 0.0000 0.0000
2.4053 4.1660 0.0000
2.4053 1.3887 7.3628
S Mo Ba
2 1 1
direct
0.1031 0.1031 0.6907
0.8969 0.8969 0.3093
0.0000 0.0000 0.0000
0.5000 0.5000 0.5000


Computed stability ranking, most favorable first: model w, model x


Model w:
BaSc2Mo GGA-PBEsol relaxed; DOS at the Fermi energy = 0.97 states/eV/atom
1.0
-2.3233 -2.7768 -0.4017
1.8008 -1.0759 -2.9781
4.7496 -4.6315 4.5451
Sc Ba Mo
2 1 1
direct
0.5000 0.5000 0.1682
0.0000 0.0000 0.9556
0.0000 0.0000 0.5415
0.5000 0.5000 0.8347


Model x:
BaSc2Mo GGA-PBEsol relaxed; DOS at the Fermi energy = 1.33 states/eV/atom
1.0
3.2673 0.0000 0.0000
0.0000 5.3943 -0.0152
0.0000 -1.6883 5.1234
Mo Ba Sc
1 1 2
direct
0.5000 0.5000 0.5000
0.5000 0.0000 0.0000
0.0000 0.5000 0.0000
0.0000 0.0000 0.5000


Computed stability ranking, most favorable first: model w, model x


Model w:
Ba2SrMo GGA-PBEsol relaxed; DOS at the Fermi energy = 0.96 states/eV/atom
1.0
3.8780 0.0000 0.0182
0.0000 3.8776 0.0000
-0.0463 0.0000 10.4474
Ba Sr Mo
2 1 1
direct
0.9996 0.0000 0.3120
0.0004 0.0000 0.6880
0.5000 0.5000 0.0000
0.5000 0.5000 0.5000


Model x:
Ba2SrMo GGA-PBEsol relaxed; DOS at the Fermi energy = 0.87 states/eV/atom
1.0
3.7800 -0.0196 -0.0328
-1.1506 6.7930 -0.0323
-1.1506 -3.2516 5.9643
Sr Ba Mo
1 2 1
direct
0.5000 0.0000 0.0000
0.0000 0.5000 0.0000
0.0000 0.0000 0.5000
0.5000 0.5000 0.5000


Computed stability ranking, most favorable first: model w, model x


Model w:
BaTaMo2 GGA-PBEsol relaxed; DOS at the Fermi energy = 1.04 states/eV/atom
1.0
3.9751 0.0000 0.0000
0.0000 3.9751 0.0000
-1.9875 -1.9875 4.9086
Ta Ba Mo
1 1 2
direct
0.5000 0.5000 0.0000
0.2500 0.7500 0.5000
0.7500 0.2500 0.5000
0.0000 0.0000 0.0000


Model x:
BaTaMo2 GGA-PBEsol relaxed; DOS at the Fermi energy = 1.21 states/eV/atom
1.0
-0.4082 0.4976 3.4360
1.0282 -3.2871 0.5981
7.2221 2.3532 0.5171
Mo Ta Ba
2 1 1
direct
0.0000 0.0000 0.8458
0.0000 0.0000 0.1542
0.5000 0.5000 0.0000
0.5000 0.5000 0.5000


Computed stability ranking, most favorable first: model x, model w